A plane-wave DFT calculation with GGA-PBE was carried out for a relaxed structure of HfPN3.

Cell and atoms, written as POSCAR:
```
HfPN3
1.0
-2.227 -0.724 -1.840
3.133 -4.757 -1.919
-1.918 -2.278 5.628
N Hf P
6 2 2
Cartesian
-1.752 -6.383 2.222
0.739 -1.377 -0.353
0.837 -3.931 0.534
1.111 -5.758 -1.488
-2.123 -2.002 3.357
-1.850 -3.828 1.335
-0.172 -5.036 2.190
-0.840 -2.723 -0.322
-2.941 -3.215 2.414
1.928 -4.545 -0.545
```

Results
Electronic total energy ... -8.94 eV per atom
ΔE_f (raw) ... -869 meV/atom